This record from Alexandria via LeMat-Bulk describes a relaxed structure of Li5Sn2Hg2Pb. The functional is GGA-PBE.

The structure in POSCAR format:
```
Li5Sn2Hg2Pb
1.0
10.852 0.000 0.000
0.000 10.852 0.000
0.000 0.000 3.608
Li Sn Hg Pb
10 4 4 2
Direct
0.000 0.500 0.000
0.095 0.188 0.000
0.188 0.905 0.000
0.312 0.405 0.000
0.405 0.688 0.000
0.500 0.000 0.000
0.595 0.312 0.000
0.688 0.595 0.000
0.812 0.095 0.000
0.905 0.812 0.000
0.166 0.666 0.500
0.334 0.166 0.500
0.666 0.834 0.500
0.834 0.334 0.500
0.128 0.372 0.500
0.372 0.872 0.500
0.628 0.128 0.500
0.872 0.628 0.500
0.000 0.000 0.500
0.500 0.500 0.500
```

## Properties
Total magnetization   0.000 μB per atom
DFT total energy   -48.12 eV per cell
Fermi-level density of states   4.4 states/eV/f.u.
Calculated formation energy   -210 kJ/mol of formula units